# 1
# Sr2NiPb (PBE-GGA, optimized geometry)
data_Sr2NiPb
_chemical_formula_sum 'Sr2 Ni1 Pb1'
_symmetry_space_group_name_H-M 'P 1 2/m 1'
_symmetry_Int_Tables_number 10
_cell_length_a 3.6003
_cell_length_b 3.7255
_cell_length_c 8.7427
_cell_angle_alpha 90.00
_cell_angle_beta 90.20
_cell_angle_gamma 90.00
loop_
_symmetry_equiv_pos_as_xyz
'x,y,z'
'-x,-y,-z'
'-x,y,-z'
'x,-y,z'
loop_
_atom_site_label
_atom_site_fract_x
_atom_site_fract_y
_atom_site_fract_z
Sr1 0.0008 0.0000 0.2904
Ni1 0.5000 0.5000 0.5000
Pb1 0.5000 0.5000 0.0000
# Energy of formation from the pure elements = -0.6 eV/f.u.
# Volume = 29.32 Å³ per atom
# DOS at the Fermi energy = 0.425 states/eV per atom



# 2
# Mg2MnMo3S8 (PBE-GGA, optimized geometry)
data_Mg2MnMo3S8
_chemical_formula_sum 'Mg6 Mn3 Mo9 S24'
_symmetry_space_group_name_H-M 'R -3 m'
_symmetry_Int_Tables_number 166
_symmetry_space_group_name_Hall '-R 3 2"'
_cell_length_a 7.4337
_cell_length_b 7.4337
_cell_length_c 17.9901
_cell_angle_alpha 90.00
_cell_angle_beta 90.00
_cell_angle_gamma 120.00
loop_
_atom_site_label
_atom_site_fract_x
_atom_site_fract_y
_atom_site_fract_z
Mg1 0.0000 0.0000 0.1222
Mn1 0.0000 0.0000 0.5000
Mo1 0.0000 0.5000 0.0000
S1 0.0000 0.0000 0.2599
S2 0.0292 0.5146 0.2544
# Formation energy (no corrections) = -639.1 meV per atom
# Volume = 20.50 Å³ per atom
# DOS at the Fermi energy = 0.420 states/eV per atom



# 3
# Tc3P (PBE-GGA, optimized geometry)
data_Tc3P
_chemical_formula_sum 'Tc3 P1'
_symmetry_space_group_name_H-M 'P m m m'
_symmetry_Int_Tables_number 47
_cell_length_a 2.8714
_cell_length_b 3.9678
_cell_length_c 4.9357
_cell_angle_alpha 90.00
_cell_angle_beta 90.00
_cell_angle_gamma 90.00
loop_
_symmetry_equiv_pos_as_xyz
'x,y,z'
'-x,-y,-z'
'-x,-y,z'
'x,y,-z'
'x,-y,-z'
'-x,y,z'
'-x,y,-z'
'x,-y,z'
loop_
_atom_site_label
_atom_site_fract_x
_atom_site_fract_y
_atom_site_fract_z
Tc1 0.0000 0.0000 0.0000
Tc2 0.5000 0.5000 0.2569
P1 0.0000 0.0000 0.5000
# Polymorph energy (0 for the lowest one) = 323.1 meV per atom
# Energy of formation from the pure elements = -0.1 eV/f.u.
# Volume = 14.06 Å³ per atom
# DOS at the Fermi energy = 0.599 states/eV per atom



# 4
# VCdBi2B (PBE-GGA, optimized geometry)
data_VCdBi2B
_chemical_formula_sum 'V1 Cd1 Bi2 B1'
_symmetry_space_group_name_H-M 'P 4/m m m'
_symmetry_Int_Tables_number 123
_symmetry_space_group_name_Hall '-P 4 2'
_cell_length_a 5.5744
_cell_length_b 5.5744
_cell_length_c 5.1151
_cell_angle_alpha 90.00
_cell_angle_beta 90.00
_cell_angle_gamma 90.00
loop_
_atom_site_label
_atom_site_fract_x
_atom_site_fract_y
_atom_site_fract_z
V1 0.0000 0.0000 0.0000
Cd1 0.0000 0.0000 0.5000
Bi1 0.0000 0.5000 0.5000
B1 0.5000 0.5000 0.0000
# Energy of formation from the pure elements = 10.4 eV/f.u.
# Volume = 31.79 Å³ per atom
# DOS at the Fermi energy = 1.281 states/eV per atom



# 5
# Tm10Bi4C3 (PBE-GGA, optimized geometry)
data_Tm10Bi4C3
_chemical_formula_sum 'Tm20 Bi8 C6'
_symmetry_space_group_name_H-M 'I 4/m m m'
_symmetry_Int_Tables_number 139
_symmetry_space_group_name_Hall '-I 4 2'
_cell_length_a 4.8220
_cell_length_b 4.8220
_cell_length_c 35.1837
_cell_angle_alpha 90.00
_cell_angle_beta 90.00
_cell_angle_gamma 90.00
loop_
_atom_site_label
_atom_site_fract_x
_atom_site_fract_y
_atom_site_fract_z
Tm1 0.0000 0.0000 0.0688
Tm2 0.0000 0.0000 0.2057
Tm3 0.0000 0.5000 0.0000
Tm4 0.0000 0.5000 0.1369
Bi1 0.0000 0.0000 0.2975
Bi2 0.0000 0.0000 0.4314
C1 0.0000 0.0000 0.0000
C2 0.0000 0.0000 0.1392
# Energy of formation from the pure elements = -9.8 eV/f.u.
# Volume = 24.06 Å³ per atom
# DOS at the Fermi energy = 0.671 states/eV per atom



# 6
# Al2ZnB2Rh5 (PBE-GGA, optimized geometry)
data_Al2ZnB2Rh5
_chemical_formula_sum 'Al4 Zn2 B4 Rh10'
_symmetry_space_group_name_H-M 'P 4/m b m'
_symmetry_Int_Tables_number 127
_symmetry_space_group_name_Hall '-P 4 2ab'
_cell_length_a 9.2736
_cell_length_b 9.2736
_cell_length_c 2.9203
_cell_angle_alpha 90.00
_cell_angle_beta 90.00
_cell_angle_gamma 90.00
loop_
_atom_site_label
_atom_site_fract_x
_atom_site_fract_y
_atom_site_fract_z
Al1 0.1767 0.3233 0.0000
Zn1 0.0000 0.0000 0.0000
B1 0.1283 0.6283 0.0000
Rh1 0.0000 0.5000 0.5000
Rh2 0.0777 0.7877 0.5000
# Energy of formation from the pure elements = -6.0 eV/f.u.
# Volume = 12.56 Å³ per atom
# DOS at the Fermi energy = 0.302 states/eV per atom



# 7
# TlZn2Br (PBE-GGA, optimized geometry)
data_TlZn2Br
_chemical_formula_sum 'Tl1 Zn2 Br1'
_symmetry_space_group_name_H-M 'P 4/m m m'
_symmetry_Int_Tables_number 123
_symmetry_space_group_name_Hall '-P 4 2'
_cell_length_a 3.6135
_cell_length_b 3.6135
_cell_length_c 7.5090
_cell_angle_alpha 90.00
_cell_angle_beta 90.00
_cell_angle_gamma 90.00
loop_
_atom_site_label
_atom_site_fract_x
_atom_site_fract_y
_atom_site_fract_z
Tl1 0.0000 0.0000 0.0000
Zn1 0.5000 0.5000 0.2582
Br1 0.0000 0.0000 0.5000
# Polymorph energy (0 for the lowest one) = 164.1 meV per atom
# Formation energy (no corrections) = 18.8 meV per atom
# Volume = 24.51 Å³ per atom
# DOS at the Fermi energy = 0.188 states/eV per atom



# 8
# Sb2TeHRh (PBE-GGA, optimized geometry)
data_Sb2TeHRh
_chemical_formula_sum 'Sb2 Te1 H1 Rh1'
_symmetry_space_group_name_H-M 'P 4/m m m'
_symmetry_Int_Tables_number 123
_symmetry_space_group_name_Hall '-P 4 2'
_cell_length_a 5.0702
_cell_length_b 5.0702
_cell_length_c 5.5330
_cell_angle_alpha 90.00
_cell_angle_beta 90.00
_cell_angle_gamma 90.00
loop_
_atom_site_label
_atom_site_fract_x
_atom_site_fract_y
_atom_site_fract_z
Sb1 0.0000 0.5000 0.0000
Te1 0.0000 0.0000 0.5000
H1 0.5000 0.5000 0.5000
Rh1 0.0000 0.0000 0.0000
# Polymorph energy (0 for the lowest one) = 169.5 meV per atom
# Volume = 28.45 Å³ per atom
# DOS at the Fermi energy = 0.982 states/eV per atom



# 9
# Re2PSe (PBE-GGA, optimized geometry)
data_Re2PSe
_chemical_formula_sum 'Re4 P2 Se2'
_symmetry_space_group_name_H-M 'C 1 2/m 1'
_symmetry_Int_Tables_number 12
_cell_length_a 7.7007
_cell_length_b 3.0399
_cell_length_c 5.3413
_cell_angle_alpha 90.00
_cell_angle_beta 103.94
_cell_angle_gamma 90.00
loop_
_symmetry_equiv_pos_as_xyz
'x,y,z'
'-x,-y,-z'
'-x,y,-z'
'x,-y,z'
'x+1/2,y+1/2,z'
'-x+1/2,-y+1/2,-z'
'-x+1/2,y+1/2,-z'
'x+1/2,-y+1/2,z'
loop_
_atom_site_label
_atom_site_fract_x
_atom_site_fract_y
_atom_site_fract_z
Re1 0.2394 0.0000 0.2085
P1 0.0000 0.5000 0.0000
Se1 0.0000 0.0000 0.5000
# Polymorph energy (0 for the lowest one) = 250.3 meV per atom
# Formation energy (no corrections) = 280.1 meV per atom
# Volume = 15.17 Å³ per atom
# DOS at the Fermi energy = 0.739 states/eV per atom



# 10
# BaLiCo3 (PBE-GGA, optimized geometry)
data_BaLiCo3
_chemical_formula_sum 'Ba1 Li1 Co3'
_symmetry_space_group_name_H-M 'P m -3 m'
_symmetry_Int_Tables_number 221
_symmetry_space_group_name_Hall '-P 4 2 3'
_cell_length_a 4.4549
_cell_length_b 4.4549
_cell_length_c 4.4549
_cell_angle_alpha 90.00
_cell_angle_beta 90.00
_cell_angle_gamma 90.00
loop_
_atom_site_label
_atom_site_fract_x
_atom_site_fract_y
_atom_site_fract_z
Ba1 0.0000 0.0000 0.0000
Li1 0.5000 0.5000 0.5000
Co1 0.0000 0.5000 0.5000
# Polymorph energy (0 for the lowest one) = 0.0 meV per atom
# Energy of formation from the pure elements = 5.1 eV/f.u.
# Volume = 17.68 Å³ per atom
# DOS at the Fermi energy = 3.247 states/eV per atom



# 11
# CsNaUS3 (PBE-GGA, optimized geometry)
data_CsNaUS3
_chemical_formula_sum 'Cs2 Na2 U2 S6'
_symmetry_space_group_name_H-M 'P 1 21/m 1'
_symmetry_Int_Tables_number 11
_cell_length_a 9.5202
_cell_length_b 4.2080
_cell_length_c 9.8550
_cell_angle_alpha 90.00
_cell_angle_beta 108.58
_cell_angle_gamma 90.00
loop_
_symmetry_equiv_pos_as_xyz
'x,y,z'
'-x,-y,-z'
'-x,y+1/2,-z'
'x,-y+1/2,z'
loop_
_atom_site_label
_atom_site_fract_x
_atom_site_fract_y
_atom_site_fract_z
Cs1 0.2402 0.2500 0.2677
Na1 0.0656 0.2500 0.6084
U1 0.3303 0.7500 0.8571
S1 0.1610 0.2500 0.8921
S2 0.2256 0.7500 0.5734
S3 0.4811 0.7500 0.1441
# Formation energy (no corrections) = -1294.3 meV per atom
# Volume = 31.19 Å³ per atom
# DOS at the Fermi energy = 1.028 states/eV per atom



# 12
# BaHIrAu2 (PBE-GGA, optimized geometry)
data_BaHIrAu2
_chemical_formula_sum 'Ba1 H1 Ir1 Au2'
_symmetry_space_group_name_H-M 'P 4/m m m'
_symmetry_Int_Tables_number 123
_symmetry_space_group_name_Hall '-P 4 2'
_cell_length_a 4.2272
_cell_length_b 4.2272
_cell_length_c 5.1184
_cell_angle_alpha 90.00
_cell_angle_beta 90.00
_cell_angle_gamma 90.00
loop_
_atom_site_label
_atom_site_fract_x
_atom_site_fract_y
_atom_site_fract_z
Ba1 0.0000 0.0000 0.0000
H1 0.0000 0.0000 0.5000
Ir1 0.5000 0.5000 0.0000
Au1 0.0000 0.5000 0.5000
# Calculated total energy = -0.27845 Ry/atom
# Volume = 18.29 Å³ per atom
# DOS at the Fermi energy = 0.248 states/eV per atom



What is the volume in the seventh record?
24.51 Å³ per atom



What is the formula in the first record?
Sr2NiPb



The lowest DOS at the Fermi energy belongs to which entry?
TlZn2Br



Which of these has the highest DOS at the Fermi energy?
BaLiCo3